w:
# Er2BePt6

A geometry-optimized Er2BePt6 structure (PBE-GGA, Alexandria).

spin magnetization = 0.00 μB/f.u.
N(E_F) = 4.0 states/eV/cell

a = 3.6568 Å, b = 7.3956 Å, c = 7.4561 Å
α = 119.73°, β = 104.22°, γ = 90.00°
Element x y z (fractional)
Pt1 0.5000 0.1954 0.0000
Er1 0.6486 0.6450 0.2900
Pt2 0.1666 0.3718 0.3296
Pt3 0.1666 0.9578 0.3296
Pt4 0.5000 0.8046 0.0000
Pt5 0.8334 0.0422 0.6704
Er2 0.3514 0.3550 0.7100
Be1 0.0000 0.0000 0.0000
Pt6 0.8334 0.6282 0.6704


x:
# Er2BePt6

A geometry-optimized Er2BePt6 structure (PBE-GGA, Alexandria).

spin magnetization = 0.00 μB/f.u.
N(E_F) = 1.4 states/eV/cell

a = 6.0207 Å, b = 6.0207 Å, c = 5.9494 Å
α = 59.14°, β = 59.14°, γ = 59.15°
Element x y z (fractional)
Pt1 0.7635 0.2410 0.7593
Pt2 0.7610 0.7610 0.2434
Er1 0.2497 0.2497 0.2454
Pt3 0.2390 0.2390 0.7566
Be1 0.5000 0.5000 0.5000
Er2 0.7503 0.7503 0.7546
Pt4 0.2410 0.7635 0.7593
Pt5 0.2365 0.7590 0.2407
Pt6 0.7590 0.2365 0.2407


The structure with the greatest stability is x.


w:
# ErBePt6

A geometry-optimized ErBePt6 structure (PBE-GGA, Alexandria).

spin magnetization = 0.00 μB/f.u.
N(E_F) = 4.1 states/eV/cell

a = 5.4563 Å, b = 5.4563 Å, c = 5.4563 Å
α = 107.55°, β = 107.55°, γ = 107.55°
Element x y z (fractional)
Pt1 0.7645 0.3277 0.7645
Pt2 0.2355 0.6723 0.2355
Be1 0.5000 0.5000 0.5000
Pt3 0.2355 0.2355 0.6723
Pt4 0.6723 0.2355 0.2355
Pt5 0.3277 0.7645 0.7645
Pt6 0.7645 0.7645 0.3277
Er1 0.0000 0.0000 0.0000


x:
# ErBePt6

A geometry-optimized ErBePt6 structure (PBE-GGA, Alexandria).

spin magnetization = 0.00 μB/f.u.
N(E_F) = 5.4 states/eV/cell

a = 4.0162 Å, b = 4.0162 Å, c = 7.8222 Å
α = 90.00°, β = 90.00°, γ = 90.00°
Element x y z (fractional)
Be1 0.0000 0.0000 0.5000
Pt1 0.0000 0.5000 0.2723
Pt2 0.5000 0.0000 0.2723
Pt3 0.0000 0.5000 0.7277
Pt4 0.5000 0.5000 0.0000
Pt5 0.5000 0.0000 0.7277
Er1 0.0000 0.0000 0.0000
Pt6 0.5000 0.5000 0.5000


The structure with the greatest stability is x.